Density functional theory data (PBE) for an optimized crystal structure of AlTlGaOs2.

abc: 4.658 4.453 4.658
angles: 90.00 90.00 90.00
Fractional positions:
Tl: 0.500 0.500 0.500
Os: 0.000 0.000 0.500
Os: 0.500 0.000 0.000
Al: 0.000 0.500 0.000
Ga: 0.000 0.000 0.000


Density functional theory data (PBE) for an optimized crystal structure of AlGaP.

Results
As for the energy above the lowest structure with this stoichiometry: 129.7 meV per atom.

abc: 3.628 3.628 8.162
angles: 90.00 90.00 90.00
Fractional positions:
P: 0.000 0.500 0.833
P: 0.500 0.000 0.167
Al: 0.000 0.500 0.144
Al: 0.500 0.000 0.856
Ga: 0.000 0.500 0.535
Ga: 0.500 0.000 0.465


Density functional theory data (PBE) for an optimized crystal structure of AlGa2P.

Results
As for the energy above the lowest structure with this stoichiometry: 142.3 meV per atom.

abc: 4.636 4.636 4.636
angles: 60.00 60.00 60.00
Fractional positions:
P: 0.500 0.500 0.500
Al: 0.000 0.000 0.000
Ga: 0.250 0.250 0.250
Ga: 0.750 0.750 0.750


Density functional theory data (PBE) for an optimized crystal structure of AlGa3P4.

abc: 5.503 5.503 6.739
angles: 114.10 114.10 90.00
Fractional positions:
P: 0.374 0.374 0.249
P: 0.875 0.875 0.249
P: 0.125 0.626 0.751
P: 0.626 0.125 0.751
Al: 0.000 0.000 0.000
Ga: 0.500 0.500 0.000
Ga: 0.750 0.250 0.500
Ga: 0.250 0.750 0.500


D(E_F)? In order: 0.61; 0.29; 0.48; 0.00 states/eV per atom.
Total DFT energy (no corrections)? In order: -4.98; -4.23; -3.57; -4.77 eV per atom.